1.
Below is a PBEsol-optimized structure of Cd2IrCl, with properties calculated at the meta-GGA SCAN level.

Values from the calculation:
The value obtained for the formation energy from raw total energies is 343 meV per atom.

Cell and atoms, written as CIF:
```
data_Cd2IrCl
_cell_length_a 3.0663
_cell_length_b 3.0663
_cell_length_c 26.3916
_cell_angle_alpha 90.00
_cell_angle_beta 90.00
_cell_angle_gamma 120.00
_space_group_name_H-M_alt 'R 3 m'
_space_group_IT_number 160
_space_group_name_Hall 'R 3 -2"'
loop_
_atom_site_label
_atom_site_type_symbol
_atom_site_fract_x
_atom_site_fract_y
_atom_site_fract_z
_atom_site_occupancy
Cd1 Cd 0.0000 0.0000 0.0000 1
Cd2 Cd 0.0000 0.0000 0.2396 1
Ir1 Ir 0.0000 0.0000 0.7464 1
Cl1 Cl 0.0000 0.0000 0.4875 1
```



2.
Below is a PBEsol-optimized structure of YTa2NbTc, with properties calculated at the meta-GGA SCAN level.

Values from the calculation:
The calculation puts the formation energy at 0.733 eV per atom.

Cell and atoms, written as CIF:
```
data_YTa2NbTc
_cell_length_a 4.8071
_cell_length_b 4.8071
_cell_length_c 4.8443
_cell_angle_alpha 90.00
_cell_angle_beta 90.00
_cell_angle_gamma 90.00
_space_group_name_H-M_alt 'P 4/m m m'
_space_group_IT_number 123
_space_group_name_Hall '-P 4 2'
loop_
_atom_site_label
_atom_site_type_symbol
_atom_site_fract_x
_atom_site_fract_y
_atom_site_fract_z
_atom_site_occupancy
Y1 Y 0.0000 0.0000 0.0000 1
Ta1 Ta 0.0000 0.5000 0.5000 1
Nb1 Nb 0.5000 0.5000 0.0000 1
Tc1 Tc 0.5000 0.5000 0.5000 1
```



3.
Below is a PBEsol-optimized structure of MnNb2H2, with properties calculated at the meta-GGA SCAN level.

Values from the calculation:
The calculation puts the total energy at -18.446 eV per atom.

Cell and atoms, written as CIF:
```
data_MnNb2H2
_cell_length_a 2.9816
_cell_length_b 2.9816
_cell_length_c 11.5856
_cell_angle_alpha 90.00
_cell_angle_beta 90.00
_cell_angle_gamma 90.00
_space_group_name_H-M_alt 'I 4/m m m'
_space_group_IT_number 139
_space_group_name_Hall '-I 4 2'
loop_
_atom_site_label
_atom_site_type_symbol
_atom_site_fract_x
_atom_site_fract_y
_atom_site_fract_z
_atom_site_occupancy
Mn1 Mn 0.0000 0.0000 0.0000 1
Nb1 Nb 0.0000 0.0000 0.3663 1
H1 H 0.0000 0.5000 0.2500 1
```



4.
Below is a PBEsol-optimized structure of Er6Ga17Pd5, with properties calculated at the meta-GGA SCAN level.

Values from the calculation:
The calculation puts the formation energy at -0.769 eV per atom.

Cell and atoms, written as CIF:
```
data_Er6Ga17Pd5
_cell_length_a 15.4802
_cell_length_b 4.1630
_cell_length_c 15.4760
_cell_angle_alpha 90.00
_cell_angle_beta 104.30
_cell_angle_gamma 90.00
_space_group_name_H-M_alt 'C 1 2/m 1'
_space_group_IT_number 12
loop_
_space_group_symop_operation_xyz
'x,y,z'
'-x,-y,-z'
'-x,y,-z'
'x,-y,z'
'x+1/2,y+1/2,z'
'-x+1/2,-y+1/2,-z'
'-x+1/2,y+1/2,-z'
'x+1/2,-y+1/2,z'
loop_
_atom_site_label
_atom_site_type_symbol
_atom_site_fract_x
_atom_site_fract_y
_atom_site_fract_z
_atom_site_occupancy
Er1 Er 0.0907 0.0000 0.4063 1
Er2 Er 0.1010 0.5000 0.9021 1
Er3 Er 0.2473 0.0000 0.2511 1
Ga1 Ga 0.0000 0.0000 0.0000 1
Ga2 Ga 0.0381 0.0000 0.1781 1
Ga3 Ga 0.0457 0.5000 0.6738 1
Ga4 Ga 0.1015 0.5000 0.2638 1
Ga5 Ga 0.1086 0.0000 0.7659 1
Ga6 Ga 0.1744 0.5000 0.5429 1
Ga7 Ga 0.1779 0.0000 0.0399 1
Ga8 Ga 0.2305 0.5000 0.3959 1
Ga9 Ga 0.2400 0.0000 0.8935 1
Pd1 Pd 0.0000 0.5000 0.5000 1
Pd2 Pd 0.0915 0.5000 0.0939 1
Pd3 Pd 0.1061 0.0000 0.6034 1
```



Question: What is the formula in the first record?
Answer: Cd2IrCl